Compound: PaTi2O
Source: the Alexandria database
Functional: GGA-PBE
Structure: relaxed

Values from the calculation:
- energy (eV per atom) = -8.54
- excess energy over the best structure of this formula in the dataset (eV per atom) = 0.000
- crystal system = trigonal
- E_form (uncorrected) (meV/atom) = -982

a b c (Å): 3.045 3.045 8.116
angles (deg): 79.19 79.19 60.00
Atoms (fractional coordinates):
Ti  0.883  0.883  0.352
Ti  0.117  0.117  0.648
O  0.500  0.500  0.500
Pa  0.000  0.000  0.000